Entry 1:
4
Lattice="0.000 2.859 2.859 2.859 0.000 2.859 2.859 2.859 0.000" Properties=species:S:1:pos:R:3 comment="CdFe2C PBE relaxed" spacegroup="No. 225" delta_e_f_mev_per_atom=1640 energy_ev_per_atom=-5.126 pbc="T T T"
Cd 0.000 0.000 0.000
Fe 1.430 1.430 1.430
Fe 4.289 4.289 4.289
C 2.859 2.859 2.859

***

Entry 2:
8
Lattice="-3.056 3.056 2.738 3.056 -3.056 2.738 3.056 3.056 -2.738" Properties=species:S:1:pos:R:3 comment="CdFe2C PBE relaxed" spacegroup="No. 122" delta_e_f_mev_per_atom=535 energy_ev_per_atom=-6.231 pbc="T T T"
Cd 0.000 0.000 0.000
Cd 0.000 3.056 1.369
Fe 1.528 -0.831 2.053
Fe 2.225 1.528 0.684
Fe 1.528 3.887 -0.684
Fe 0.831 1.528 3.422
C 3.056 0.000 1.369
C 0.000 0.000 2.738

***

Entry 3:
5
Lattice="4.177 0.000 0.000 0.000 4.177 0.000 0.000 0.000 4.177" Properties=species:S:1:pos:R:3 comment="CdFeC3 PBE relaxed" spacegroup="No. 221" delta_e_f_mev_per_atom=3811 energy_ev_per_atom=-3.599 pbc="T T T"
Cd 0.000 0.000 0.000
Fe 2.089 2.089 2.089
C 0.000 0.000 2.089
C 0.000 2.089 0.000
C 2.089 0.000 0.000

***

Entry 4:
8
Lattice="-2.431 2.431 4.472 2.431 -2.431 4.472 2.431 2.431 -4.472" Properties=species:S:1:pos:R:3 comment="CdFeC2 PBE relaxed" spacegroup="No. 122" delta_e_f_mev_per_atom=1049 energy_ev_per_atom=-5.908 pbc="T T T"
Cd 0.000 0.000 0.000
Cd 0.000 2.431 2.236
Fe 2.431 0.000 2.236
Fe 0.000 0.000 4.472
C 1.216 -0.710 3.354
C 1.722 1.216 1.118
C 1.216 3.141 -1.118
C 0.710 1.216 5.590

***

Entry 5:
5
Lattice="3.839 0.000 0.000 0.000 3.839 0.000 0.000 0.000 3.839" Properties=species:S:1:pos:R:3 comment="CdFeC3 PBE relaxed" spacegroup="No. 221" delta_e_f_mev_per_atom=1958 energy_ev_per_atom=-5.452 pbc="T T T"
Cd 0.000 0.000 0.000
Fe 1.919 1.919 1.919
C 0.000 1.919 1.919
C 1.919 0.000 1.919
C 1.919 1.919 0.000

***

Entry 6:
5
Lattice="3.752 0.000 0.000 0.000 3.752 0.000 0.000 0.000 4.258" Properties=species:S:1:pos:R:3 comment="LiCdFe2C PBE relaxed" spacegroup="No. 123" delta_e_f_mev_per_atom=77 energy_ev_per_atom=-5.718 pbc="T T T"
Li 0.000 0.000 0.000
Cd 1.876 1.876 0.000
Fe 0.000 1.876 2.129
Fe 1.876 0.000 2.129
C 0.000 0.000 2.129

***

Entry 7:
5
Lattice="4.530 0.000 0.000 0.000 4.530 0.000 0.000 0.000 3.698" Properties=species:S:1:pos:R:3 comment="Mg2CdFeC PBE relaxed" spacegroup="No. 123" delta_e_f_mev_per_atom=148 energy_ev_per_atom=-4.211 pbc="T T T"
Mg 0.000 2.265 0.000
Mg 2.265 0.000 0.000
Cd 0.000 0.000 1.849
Fe 2.265 2.265 1.849
C 2.265 2.265 0.000

***

Entry 8:
5
Lattice="3.880 0.000 0.000 0.000 3.880 0.000 0.000 0.000 3.954" Properties=species:S:1:pos:R:3 comment="MnCdFe2C PBE relaxed" spacegroup="No. 123" delta_e_f_mev_per_atom=139 energy_ev_per_atom=-7.107 pbc="T T T"
Mn 0.000 0.000 0.000
Cd 1.940 1.940 0.000
Fe 0.000 1.940 1.977
Fe 1.940 0.000 1.977
C 0.000 0.000 1.977

***

Entry 9:
5
Lattice="4.687 0.000 0.000 0.000 4.687 0.000 0.000 0.000 3.564" Properties=species:S:1:pos:R:3 comment="CdFeMo2C PBE relaxed" spacegroup="No. 123" delta_e_f_mev_per_atom=1307 energy_ev_per_atom=-6.746 pbc="T T T"
Cd 0.000 0.000 0.000
Fe 2.343 2.343 1.782
Mo 0.000 2.343 1.782
Mo 2.343 0.000 1.782
C 2.343 2.343 0.000

***

Entry 10:
5
Lattice="3.857 0.000 0.000 0.000 3.857 0.000 0.000 0.000 3.958" Properties=species:S:1:pos:R:3 comment="CdFe2NiC PBE relaxed" spacegroup="No. 123" delta_e_f_mev_per_atom=123 energy_ev_per_atom=-6.446 pbc="T T T"
Cd 0.000 0.000 0.000
Fe 0.000 1.929 1.979
Fe 1.929 0.000 1.979
Ni 1.929 1.929 0.000
C 1.929 1.929 1.979

***

Entry 11:
5
Lattice="3.895 0.000 0.000 0.000 3.895 0.000 0.000 0.000 3.807" Properties=species:S:1:pos:R:3 comment="CdFeNi2C PBE relaxed" spacegroup="No. 123" delta_e_f_mev_per_atom=87 energy_ev_per_atom=-5.946 pbc="T T T"
Cd 0.000 0.000 0.000
Fe 1.948 1.948 0.000
Ni 0.000 1.948 1.904
Ni 1.948 0.000 1.904
C 1.948 1.948 1.904

***

Entry 12:
8
Lattice="3.673 0.000 0.000 0.000 3.673 0.000 0.000 0.000 10.784" Properties=species:S:1:pos:R:3 comment="PrCdFeC PBE relaxed" spacegroup="No. 129" delta_e_f_mev_per_atom=12 energy_ev_per_atom=-5.833 pbc="T T T"
Pr 0.918 0.918 2.278
Pr 2.755 2.755 8.506
Cd 0.918 2.755 5.392
Cd 2.755 0.918 5.392
Fe 0.918 2.755 0.000
Fe 2.755 0.918 0.000
C 0.918 0.918 9.961
C 2.755 2.755 0.823

***

Calculated values (μB/f.u.) of size of the total moment for the records, taken in order: 0.00; 2.83; 0.27; 0.00; 0.00; 2.38; 0.81; 5.34; 0.00; 3.89; 0.96; 0.00.